DFT (PBE) results for a relaxed Cs2MnHg2I4 crystal.

VASP energy (eV for the cell shown): -25.0
Energy relative to the elements, uncorrected (eV per atom): -0.817
Crystal system: tetragonal
Magnetic moment (μB per formula unit): 5.000

a = 7.9393 Å, b = 7.9393 Å, c = 7.9393 Å
α = 111.92°, β = 111.92°, γ = 104.67°
Closest atoms and distances in Å follow each position.
Fractional positions:
1 Cs 0.2500 0.7500 0.5000  8 I 3.98
2 Cs 0.7500 0.2500 0.5000  8 I 3.98
3 Mn 0.0000 0.0000 0.0000  4 I 2.84, 2 Hg 2.98
4 Hg 0.3066 0.3066 0.0000  1 Mn 2.98
5 Hg 0.6934 0.6934 0.0000  1 Mn 2.98
6 I 0.2259 0.2259 0.4517  1 Mn 2.84
7 I 0.2259 0.7741 0.0000  1 Mn 2.84
8 I 0.7741 0.2259 0.0000  1 Mn 2.84
9 I 0.7741 0.7741 0.5483  1 Mn 2.84

---

DFT (PBE) results for a relaxed PmPrSn2Pd5 crystal.

VASP energy (eV for the cell shown): -49.8
Crystal system: tetragonal
Magnetic moment (μB per formula unit): 0.000

a = 4.4686 Å, b = 4.4686 Å, c = 9.4777 Å
α = 90.00°, β = 90.00°, γ = 90.00°
Closest atoms and distances in Å follow each position.
Fractional positions:
1 Pm 0.0000 0.0000 0.0000  8 Sn 3.45, 8 Pd 3.55
2 Pr 0.0000 0.0000 0.5000  12 Pd 2.98-3.16
3 Sn 0.5000 0.5000 0.1467  4 Pd 2.62, 1 Sn 2.78
4 Sn 0.5000 0.5000 0.8533  4 Pd 2.62, 1 Sn 2.78
5 Pd 0.0000 0.5000 0.2913  2 Sn 2.62
6 Pd 0.0000 0.5000 0.7087  2 Sn 2.62
7 Pd 0.5000 0.0000 0.2913  2 Sn 2.62
8 Pd 0.5000 0.0000 0.7087  2 Sn 2.62
9 Pd 0.5000 0.5000 0.5000  8 Pd 2.98, 4 Pr 3.16

---

DFT (PBE) results for a relaxed CuI crystal.

VASP energy (eV for the cell shown): -46.0
Energy relative to the elements, uncorrected (eV per atom): -0.051
Crystal system: orthorhombic
Magnetic moment (μB per formula unit): 0.000

a = 7.1836 Å, b = 7.3842 Å, c = 8.3919 Å
α = 90.00°, β = 90.00°, γ = 90.00°
Closest atoms and distances in Å follow each position.
Fractional positions:
1 Cu 0.0730 0.0543 0.4042  3 I 2.54-2.70, 2 Cu 2.68-2.73
2 Cu 0.1614 0.6939 0.8706  4 I 2.63-2.75, 2 Cu 2.68-2.73
3 Cu 0.3386 0.3061 0.3706  4 I 2.63-2.75, 2 Cu 2.68-2.73
4 Cu 0.4270 0.9457 0.9042  3 I 2.54-2.70, 2 Cu 2.68-2.73
5 Cu 0.5730 0.4457 0.5958  3 I 2.54-2.70, 2 Cu 2.68-2.73
6 Cu 0.6614 0.8061 0.1294  4 I 2.63-2.75, 2 Cu 2.68-2.73
7 Cu 0.8386 0.1939 0.6294  4 I 2.63-2.75, 2 Cu 2.68-2.73
8 Cu 0.9270 0.5543 0.0958  3 I 2.54-2.70, 2 Cu 2.68-2.73
9 I 0.0174 0.8864 0.1226  4 Cu 2.55-2.75
10 I 0.0202 0.3522 0.8648  3 Cu 2.54-2.72
11 I 0.4798 0.6478 0.3648  3 Cu 2.54-2.72
12 I 0.4826 0.1136 0.6226  4 Cu 2.55-2.75
13 I 0.5174 0.6136 0.8774  4 Cu 2.55-2.75
14 I 0.5202 0.1478 0.1352  3 Cu 2.54-2.72
15 I 0.9798 0.8522 0.6352  3 Cu 2.54-2.72
16 I 0.9826 0.3864 0.3774  4 Cu 2.55-2.75

---

DFT (PBE) results for a relaxed KAl4F12 crystal.

VASP energy (eV for the cell shown): -93.1
Energy relative to the elements, uncorrected (eV per atom): -3.208
Crystal system: cubic
Magnetic moment (μB per formula unit): 0.000

a = 6.5462 Å, b = 6.5462 Å, c = 6.5462 Å
α = 109.47°, β = 109.47°, γ = 109.47°
Closest atoms and distances in Å follow each position.
Fractional positions:
1 K 0.0000 0.0000 0.0000  12 F 2.66
2 Al 0.0000 0.0000 0.5000  6 F 1.89
3 Al 0.0000 0.5000 0.0000  6 F 1.89
4 Al 0.5000 0.0000 0.0000  6 F 1.89
5 Al 0.5000 0.5000 0.5000  6 F 1.89
6 F 0.0026 0.7526 0.2500  2 Al 1.89
7 F 0.2474 0.2500 0.4975  2 Al 1.89
8 F 0.2474 0.7500 0.9974  2 Al 1.89
9 F 0.2500 0.0026 0.7526  2 Al 1.89
10 F 0.2500 0.4975 0.2474  2 Al 1.89
11 F 0.4975 0.2474 0.2500  2 Al 1.89
12 F 0.5025 0.7526 0.7500  2 Al 1.89
13 F 0.7500 0.5025 0.7526  2 Al 1.89
14 F 0.7500 0.9974 0.2474  2 Al 1.89
15 F 0.7526 0.2500 0.0026  2 Al 1.89
16 F 0.7526 0.7500 0.5025  2 Al 1.89
17 F 0.9974 0.2474 0.7500  2 Al 1.89

---

DFT (PBE) results for a relaxed AlHg2O2F5 crystal.

VASP energy (eV for the cell shown): -78.9
Energy relative to the elements, uncorrected (eV per atom): -1.582
Crystal system: tetragonal
Magnetic moment (μB per formula unit): 2.001

a = 7.0689 Å, b = 7.0689 Å, c = 7.0689 Å
α = 113.70°, β = 113.70°, γ = 101.31°
Closest atoms and distances in Å follow each position.
Fractional positions:
1 Al 0.0000 0.0000 0.0000  5 F 1.78
2 Al 0.5000 0.5000 0.0000  5 F 1.78
3 Hg 0.0910 0.5910 0.1606  3 O 2.19-2.34
4 Hg 0.4305 0.9305 0.8394  3 O 2.19-2.34
5 Hg 0.5910 0.4305 0.5000  3 O 2.19-2.34
6 Hg 0.9305 0.0910 0.5000  3 O 2.19-2.34
7 O 0.1470 0.9077 0.5000  3 Hg 2.19-2.34
8 O 0.4077 0.6470 0.5000  3 Hg 2.19-2.34
9 O 0.6470 0.1470 0.2393  3 Hg 2.19-2.34
10 O 0.9077 0.4077 0.7607  3 Hg 2.19-2.34
11 F 0.0301 0.2586 0.2258  1 Al 1.78
12 F 0.0327 0.8043 0.7742  1 Al 1.78
13 F 0.2586 0.0327 0.2285  1 Al 1.78
14 F 0.3009 0.3009 0.0000  1 Al 1.78
15 F 0.3043 0.5327 0.7742  1 Al 1.78
16 F 0.5301 0.3043 0.7715  1 Al 1.78
17 F 0.5327 0.7586 0.2285  1 Al 1.78
18 F 0.7586 0.5301 0.2258  1 Al 1.78
19 F 0.8009 0.8009 0.0000  1 Al 1.78
20 F 0.8043 0.0301 0.7715  1 Al 1.78

---

DFT (PBE) results for a relaxed Ba3Sn2As4 crystal.

E above lowest polymorph (kcal/mol of atoms): 1.94
VASP energy (eV for the cell shown): -39.0
Crystal system: monoclinic
Magnetic moment (μB per formula unit): 0.000

a = 7.5315 Å, b = 7.5315 Å, c = 9.8652 Å
α = 120.09°, β = 120.09°, γ = 39.15°
Closest atoms and distances in Å follow each position.
Fractional positions:
1 Ba 0.0000 0.0000 0.0000  6 As 3.40-3.43
2 Ba 0.3627 0.3627 0.2650  3 As 3.25-3.31
3 Ba 0.6373 0.6373 0.7350  3 As 3.25-3.31
4 Sn 0.3293 0.3293 0.6484  4 As 2.65-2.83
5 Sn 0.6707 0.6707 0.3516  4 As 2.65-2.83
6 As 0.1044 0.1044 0.4040  3 Sn 2.79-2.83
7 As 0.3140 0.3140 0.9042  1 Sn 2.65
8 As 0.6860 0.6860 0.0958  1 Sn 2.65
9 As 0.8956 0.8956 0.5960  3 Sn 2.79-2.83

---

DFT (PBE) results for a relaxed CoOsSe2 crystal.

E above lowest polymorph (kcal/mol of atoms): 17.52
VASP energy (eV for the cell shown): -22.5
Energy relative to the elements, uncorrected (eV per atom): 0.707
Crystal system: monoclinic
Magnetic moment (μB per formula unit): 2.166

a = 4.0771 Å, b = 3.9084 Å, c = 4.2839 Å
α = 90.00°, β = 96.84°, γ = 90.00°
Closest atoms and distances in Å follow each position.
Fractional positions:
1 Co 0.0000 0.0000 0.0000  4 Se 2.53, 2 Os 2.78
2 Os 0.5000 0.0000 0.5000  4 Se 2.49, 2 Co 2.78
3 Se 0.2755 0.5000 0.7637  2 Os 2.49, 2 Co 2.53, 1 Se 2.56
4 Se 0.7245 0.5000 0.2363  2 Os 2.49, 2 Co 2.53, 1 Se 2.56

---

DFT (PBE) results for a relaxed CdBiRu3 crystal.

E above lowest polymorph (kcal/mol of atoms): 0.00
VASP energy (eV for the cell shown): -23.7
Crystal system: cubic
Magnetic moment (μB per formula unit): 3.017

a = 4.9731 Å, b = 4.9731 Å, c = 4.9731 Å
α = 90.00°, β = 90.00°, γ = 90.00°
Closest atoms and distances in Å follow each position.
Fractional positions:
1 Cd 0.0000 0.0000 0.0000  12 Ru 3.52
2 Bi 0.5000 0.5000 0.5000  6 Ru 2.49
3 Ru 0.0000 0.5000 0.5000  2 Bi 2.49
4 Ru 0.5000 0.0000 0.5000  2 Bi 2.49
5 Ru 0.5000 0.5000 0.0000  2 Bi 2.49

---

DFT (PBE) results for a relaxed Ac4GeP2Cl crystal.

VASP energy (eV for the cell shown): -89.3
Energy relative to the elements, uncorrected (eV per atom): -1.367
Crystal system: tetragonal
Magnetic moment (μB per formula unit): 0.000

a = 6.2978 Å, b = 6.2978 Å, c = 12.6723 Å
α = 90.00°, β = 90.00°, γ = 90.00°
Closest atoms and distances in Å follow each position.
Fractional positions:
1 Ac 0.0000 0.0000 0.2441  1 Ge 3.09, 4 P 3.15, 1 Cl 3.24
2 Ac 0.0000 0.0000 0.7559  1 Ge 3.09, 4 P 3.15, 1 Cl 3.24
3 Ac 0.0000 0.5000 0.0000  2 Ge 3.15, 2 Cl 3.15, 2 P 3.17
4 Ac 0.0000 0.5000 0.5000  2 Ge 3.15, 2 Cl 3.15, 2 P 3.17
5 Ac 0.5000 0.0000 0.0000  2 Ge 3.15, 2 Cl 3.15, 2 P 3.17
6 Ac 0.5000 0.0000 0.5000  2 Ge 3.15, 2 Cl 3.15, 2 P 3.17
7 Ac 0.5000 0.5000 0.2559  1 Ge 3.09, 4 P 3.15, 1 Cl 3.24
8 Ac 0.5000 0.5000 0.7441  1 Ge 3.09, 4 P 3.15, 1 Cl 3.24
9 Ge 0.0000 0.0000 0.0000  6 Ac 3.09-3.15
10 Ge 0.5000 0.5000 0.5000  6 Ac 3.09-3.15
11 P 0.0000 0.5000 0.2500  6 Ac 3.15-3.17
12 P 0.0000 0.5000 0.7500  6 Ac 3.15-3.17
13 P 0.5000 0.0000 0.2500  6 Ac 3.15-3.17
14 P 0.5000 0.0000 0.7500  6 Ac 3.15-3.17
15 Cl 0.0000 0.0000 0.5000  6 Ac 3.15-3.24
16 Cl 0.5000 0.5000 0.0000  6 Ac 3.15-3.24

---

DFT (PBE) results for a relaxed Cd2FeSb crystal.

VASP energy (eV for the cell shown): -27.3
Energy relative to the elements, uncorrected (eV per atom): 0.191
Crystal system: orthorhombic
Magnetic moment (μB per formula unit): 1.624

a = 2.9750 Å, b = 4.1922 Å, c = 13.4260 Å
α = 90.00°, β = 90.00°, γ = 90.00°
Closest atoms and distances in Å follow each position.
Fractional positions:
1 Cd 0.0000 0.0000 0.1858  2 Fe 2.90, 6 Cd 2.97-3.09
2 Cd 0.0000 0.0000 0.8142  2 Fe 2.90, 6 Cd 2.97-3.09
3 Cd 0.5000 0.5000 0.3142  2 Fe 2.90, 6 Cd 2.97-3.09
4 Cd 0.5000 0.5000 0.6858  2 Fe 2.90, 6 Cd 2.97-3.09
5 Fe 0.0000 0.5000 0.5000  4 Sb 2.57
6 Fe 0.5000 0.0000 0.0000  4 Sb 2.57
7 Sb 0.0000 0.5000 0.0000  4 Fe 2.57
8 Sb 0.5000 0.0000 0.5000  4 Fe 2.57

---

DFT (PBE) results for a relaxed LiDyThSe3 crystal.

VASP energy (eV for the cell shown): -67.2
Energy relative to the elements, uncorrected (eV per atom): -1.539
Crystal system: monoclinic
Magnetic moment (μB per formula unit): 0.000

a = 8.5106 Å, b = 3.9544 Å, c = 8.8064 Å
α = 90.00°, β = 103.66°, γ = 90.00°
Closest atoms and distances in Å follow each position.
Fractional positions:
1 Li 0.0894 0.2500 0.0863  4 Se 2.49-2.56, 2 Li 2.73
2 Li 0.9106 0.7500 0.9137  4 Se 2.49-2.56, 2 Li 2.73
3 Dy 0.3380 0.7500 0.3550  6 Se 2.81-3.09
4 Dy 0.6620 0.2500 0.6450  6 Se 2.81-3.09
5 Th 0.1961 0.2500 0.7188  7 Se 2.94-3.10
6 Th 0.8039 0.7500 0.2812  7 Se 2.94-3.10
7 Se 0.0908 0.2500 0.3694  1 Li 2.49
8 Se 0.2196 0.7500 0.9949  3 Li 2.49-2.56
9 Se 0.4455 0.7500 0.6953  3 Dy 2.81-2.92, 2 Th 2.94
10 Se 0.5545 0.2500 0.3047  3 Dy 2.81-2.92, 2 Th 2.94
11 Se 0.7804 0.2500 0.0051  3 Li 2.49-2.56
12 Se 0.9092 0.7500 0.6306  1 Li 2.49

---

DFT (PBE) results for a relaxed Tb3Be2GaPd9 crystal.

VASP energy (eV for the cell shown): -81.4
Crystal system: trigonal
Magnetic moment (μB per formula unit): 0.000

a = 5.8744 Å, b = 5.8744 Å, c = 9.0493 Å
α = 90.00°, β = 90.00°, γ = 120.00°
Closest atoms and distances in Å follow each position.
Fractional positions:
1 Tb 0.0000 0.0000 0.0000  12 Pd 2.94-3.10
2 Tb 0.3333 0.6667 0.6798  6 Pd 2.95
3 Tb 0.6667 0.3333 0.3202  6 Pd 2.95
4 Be 0.3333 0.6667 0.1518  6 Pd 2.15-2.18
5 Be 0.6667 0.3333 0.8482  6 Pd 2.15-2.18
6 Ga 0.0000 0.0000 0.5000  6 Pd 2.51
7 Pd 0.0000 0.5000 0.0000  2 Be 2.18
8 Pd 0.1617 0.3235 0.2907  1 Be 2.15
9 Pd 0.1617 0.8383 0.2907  1 Be 2.15
10 Pd 0.3235 0.1617 0.7093  1 Be 2.15
11 Pd 0.5000 0.0000 0.0000  2 Be 2.18
12 Pd 0.5000 0.5000 0.0000  2 Be 2.18
13 Pd 0.6765 0.8383 0.2907  1 Be 2.15
14 Pd 0.8383 0.1617 0.7093  1 Be 2.15
15 Pd 0.8383 0.6765 0.7093  1 Be 2.15

---

Q: Look up the VASP energy of the sixth one.
A: -39.0 eV for the cell shown

---

Q: Which of these has the highest VASP energy?
A: CoOsSe2